## La3Mg3In8 (PBE-GGA)

Data for crystalline La3Mg3In8 at its relaxed geometry.

The structure belongs to space group Immm (No. 71); the cell edges are 4.771, 11.016 and 14.169 Å and the angles 90.00°, 90.00° and 90.00°. The asymmetric unit holds La at (0.000, 0.000, 0.000), La at (0.000, 0.000, 0.300), Mg at (0.000, 0.186, 0.500), Mg at (0.000, 0.500, 0.000), In at (0.000, 0.289, 0.139) and In at (0.000, 0.368, 0.348).

As for the crystal system: orthorhombic. The formation energy comes out at -0.380 eV per atom. As for the total magnetization: 0.0 μB/cell.